(1)
The following is a DFT calculation (PBE) of an optimized crystal structure of RbMnPN.

Cell lengths 7.406, 3.175, 7.198 Å; angles 90.00, 109.63, 90.00 degrees
Space group Cm (No. 8)
Unique sites:
Rb 0.000 0.000 0.000 x2
Mn 0.442 0.000 0.485 x2
P 0.177 0.000 0.588 x2
N 0.374 0.000 0.253 x2

Its crystal system is monoclinic. Its calculated volume is 159.4 Å³ per cell. For the uncorrected formation energy, the calculation gives -1.16 kcal/mol of atoms.


(2)
The following is a DFT calculation (PBE) of an optimized crystal structure of RbMnPN.

Cell lengths 3.806, 4.351, 5.665 Å; angles 89.58, 89.92, 72.60 degrees
Space group P1 (No. 1)
Unique sites:
Rb 0.000 0.000 0.000 x1
Mn 0.582 0.664 0.501 x1
P 0.440 0.199 0.500 x1
N 0.106 0.552 0.501 x1

Its crystal system is triclinic. Its calculated volume is 89.5 Å³ per cell. For the uncorrected formation energy, the calculation gives -1.07 kcal/mol of atoms. The density of states at the Fermi level comes out at 2.10 states/eV/cell.


(3)
The following is a DFT calculation (PBE) of an optimized crystal structure of RbMnPN.

Cell lengths 3.227, 4.465, 5.753 Å; angles 90.03, 90.23, 90.01 degrees
Space group P1 (No. 1)
Unique sites:
Rb 0.000 0.000 0.000 x1
Mn 0.002 0.587 0.500 x1
P 0.502 0.238 0.500 x1
N 0.502 0.869 0.500 x1

Its crystal system is triclinic. Its calculated volume is 82.9 Å³ per cell. For the uncorrected formation energy, the calculation gives -1.28 kcal/mol of atoms. The density of states at the Fermi level comes out at 1.85 states/eV/cell.


(4)
The following is a DFT calculation (PBE) of an optimized crystal structure of RbMnPN.

Cell lengths 7.492, 3.261, 6.333 Å; angles 90.00, 99.94, 90.00 degrees
Space group Cm (No. 8)
Unique sites:
Rb 0.000 0.000 0.000 x2
Mn 0.313 0.500 0.442 x2
P 0.035 0.500 0.528 x2
N 0.325 0.000 0.313 x2

Its crystal system is monoclinic. Its calculated volume is 152.4 Å³ per cell. For the uncorrected formation energy, the calculation gives -1.55 kcal/mol of atoms. The density of states at the Fermi level comes out at 3.44 states/eV/cell.


(5)
The following is a DFT calculation (PBE) of an optimized crystal structure of RbMnPN.

Cell lengths 3.027, 3.741, 13.167 Å; angles 90.00, 90.00, 90.00 degrees
Space group Imm2 (No. 44)
Unique sites:
Rb 0.000 0.000 0.000 x2
Mn 0.000 0.500 0.782 x2
P 0.000 0.000 0.689 x2
N 0.000 0.000 0.350 x2

Its crystal system is orthorhombic. Its calculated volume is 149.1 Å³ per cell. For the uncorrected formation energy, the calculation gives -3.02 kcal/mol of atoms. The density of states at the Fermi level comes out at 4.11 states/eV/cell.


(6)
The following is a DFT calculation (PBE) of an optimized crystal structure of MnPS2N.

Cell lengths 4.602, 4.602, 3.174 Å; angles 90.00, 90.00, 90.00 degrees
Space group P4/mmm (No. 123)
Unique sites:
Mn 0.000 0.000 0.000 x1
P 0.500 0.500 0.500 x1
S 0.000 0.500 0.500 x2
N 0.500 0.500 0.000 x1

Its crystal system is tetragonal. Its calculated volume is 67.2 Å³ per cell. For the uncorrected formation energy, the calculation gives 20.32 kcal/mol of atoms. The density of states at the Fermi level comes out at 6.54 states/eV/cell.


(7)
The following is a DFT calculation (PBE) of an optimized crystal structure of MnPSN2.

Cell lengths 3.342, 3.342, 6.240 Å; angles 90.00, 90.00, 90.00 degrees
Space group P4/mmm (No. 123)
Unique sites:
Mn 0.000 0.000 0.000 x1
P 0.500 0.500 0.500 x1
S 0.500 0.500 0.000 x1
N 0.000 0.500 0.500 x2

Its crystal system is tetragonal. Its calculated volume is 69.7 Å³ per cell. For the uncorrected formation energy, the calculation gives 12.97 kcal/mol of atoms. The density of states at the Fermi level comes out at 2.38 states/eV/cell.


(8)
The following is a DFT calculation (PBE) of an optimized crystal structure of MnPS2N.

Cell lengths 4.079, 4.079, 3.781 Å; angles 90.00, 90.00, 90.00 degrees
Space group P4/mmm (No. 123)
Unique sites:
Mn 0.000 0.000 0.000 x1
P 0.500 0.500 0.000 x1
S 0.000 0.500 0.500 x2
N 0.500 0.500 0.500 x1

Its crystal system is tetragonal. Its calculated volume is 62.9 Å³ per cell. For the uncorrected formation energy, the calculation gives 27.84 kcal/mol of atoms. The density of states at the Fermi level comes out at 4.99 states/eV/cell.


(9)
The following is a DFT calculation (PBE) of an optimized crystal structure of MnPS2N.

Cell lengths 4.587, 4.587, 3.431 Å; angles 90.00, 90.00, 90.00 degrees
Space group P4/mmm (No. 123)
Unique sites:
Mn 0.000 0.000 0.000 x1
P 0.500 0.500 0.500 x1
S 0.000 0.500 0.000 x2
N 0.000 0.000 0.500 x1

Its crystal system is tetragonal. Its calculated volume is 72.2 Å³ per cell. For the uncorrected formation energy, the calculation gives 12.85 kcal/mol of atoms. The density of states at the Fermi level comes out at 4.25 states/eV/cell.


(10)
The following is a DFT calculation (PBE) of an optimized crystal structure of MnPS2N.

Cell lengths 4.203, 4.203, 4.524 Å; angles 90.00, 90.00, 90.00 degrees
Space group P4/mmm (No. 123)
Unique sites:
Mn 0.000 0.000 0.000 x1
P 0.000 0.000 0.500 x1
S 0.000 0.500 0.000 x2
N 0.500 0.500 0.500 x1

Its crystal system is tetragonal. Its calculated volume is 79.9 Å³ per cell. For the uncorrected formation energy, the calculation gives 33.34 kcal/mol of atoms. The density of states at the Fermi level comes out at 4.77 states/eV/cell.


(11)
The following is a DFT calculation (PBE) of an optimized crystal structure of MnPSN2.

Cell lengths 3.565, 3.565, 4.990 Å; angles 90.00, 90.00, 90.00 degrees
Space group P4/mmm (No. 123)
Unique sites:
Mn 0.000 0.000 0.000 x1
P 0.500 0.500 0.500 x1
S 0.000 0.000 0.500 x1
N 0.000 0.500 0.000 x2

Its crystal system is tetragonal. Its calculated volume is 63.4 Å³ per cell. For the uncorrected formation energy, the calculation gives 19.44 kcal/mol of atoms. The density of states at the Fermi level comes out at 3.87 states/eV/cell.


(12)
The following is a DFT calculation (PBE) of an optimized crystal structure of MnPSeN2.

Cell lengths 3.599, 3.599, 5.290 Å; angles 90.00, 90.00, 90.00 degrees
Space group P4/mmm (No. 123)
Unique sites:
Mn 0.000 0.000 0.000 x1
P 0.500 0.500 0.500 x1
Se 0.000 0.000 0.500 x1
N 0.000 0.500 0.000 x2

Its crystal system is tetragonal. Its calculated volume is 68.5 Å³ per cell. For the uncorrected formation energy, the calculation gives 19.00 kcal/mol of atoms. The density of states at the Fermi level comes out at 4.98 states/eV/cell.


(13)
The following is a DFT calculation (PBE) of an optimized crystal structure of MnPSeN2.

Cell lengths 3.414, 3.414, 6.730 Å; angles 90.00, 90.00, 90.00 degrees
Space group P4/mmm (No. 123)
Unique sites:
Mn 0.000 0.000 0.000 x1
P 0.500 0.500 0.500 x1
Se 0.500 0.500 0.000 x1
N 0.000 0.500 0.500 x2

Its crystal system is tetragonal. Its calculated volume is 78.4 Å³ per cell. For the uncorrected formation energy, the calculation gives 15.87 kcal/mol of atoms. The density of states at the Fermi level comes out at 1.46 states/eV/cell.


(14)
The following is a DFT calculation (PBE) of an optimized crystal structure of MnPSe2N.

Cell lengths 4.875, 4.875, 3.456 Å; angles 90.00, 90.00, 90.00 degrees
Space group P4/mmm (No. 123)
Unique sites:
Mn 0.000 0.000 0.000 x1
P 0.500 0.500 0.500 x1
Se 0.000 0.500 0.000 x2
N 0.000 0.000 0.500 x1

Its crystal system is tetragonal. Its calculated volume is 82.1 Å³ per cell. For the uncorrected formation energy, the calculation gives 10.82 kcal/mol of atoms. The density of states at the Fermi level comes out at 2.68 states/eV/cell.


(15)
The following is a DFT calculation (PBE) of an optimized crystal structure of MnPSe2N.

Cell lengths 5.052, 5.052, 3.279 Å; angles 90.00, 90.00, 90.00 degrees
Space group P4/mmm (No. 123)
Unique sites:
Mn 0.000 0.000 0.000 x1
P 0.500 0.500 0.500 x1
Se 0.000 0.500 0.500 x2
N 0.500 0.500 0.000 x1

Its crystal system is tetragonal. Its calculated volume is 83.7 Å³ per cell. For the uncorrected formation energy, the calculation gives 11.26 kcal/mol of atoms. The density of states at the Fermi level comes out at 2.19 states/eV/cell.


(16)
The following is a DFT calculation (PBE) of an optimized crystal structure of SmMn2PN.

Cell lengths 3.679, 10.478, 6.835 Å; angles 90.00, 90.00, 90.00 degrees
Space group Cmcm (No. 63)
Unique sites:
Sm 0.000 0.044 0.250 x4
Mn 0.000 0.330 0.057 x8
P 0.000 0.231 0.750 x4
N 0.000 0.500 0.000 x4

Its crystal system is orthorhombic. Its calculated volume is 263.4 Å³ per cell. For the uncorrected formation energy, the calculation gives -21.84 kcal/mol of atoms. The density of states at the Fermi level comes out at 14.32 states/eV/cell.


(17)
The following is a DFT calculation (PBE) of an optimized crystal structure of SrMnP2N.

Cell lengths 4.874, 4.874, 3.565 Å; angles 90.00, 90.00, 90.00 degrees
Space group P4/mmm (No. 123)
Unique sites:
Sr 0.000 0.000 0.000 x1
Mn 0.500 0.500 0.500 x1
P 0.000 0.500 0.500 x2
N 0.500 0.500 0.000 x1

Its crystal system is tetragonal. Its calculated volume is 84.7 Å³ per cell. For the uncorrected formation energy, the calculation gives -0.26 kcal/mol of atoms. The density of states at the Fermi level comes out at 5.60 states/eV/cell.


(18)
The following is a DFT calculation (PBE) of an optimized crystal structure of SrMnP2N6.

Cell lengths 10.131, 10.477, 5.605 Å; angles 90.00, 114.05, 90.00 degrees
Space group C2/c (No. 15)
Unique sites:
Sr 0.000 0.118 0.250 x4
Mn 0.000 0.226 0.750 x4
P 0.200 0.427 0.144 x8
N 0.082 0.308 0.039 x8
N 0.130 0.121 0.731 x8
N 0.184 0.480 0.403 x8

Its crystal system is monoclinic. Its calculated volume is 543.3 Å³ per cell. For the uncorrected formation energy, the calculation gives -6.52 kcal/mol of atoms. The density of states at the Fermi level comes out at 10.53 states/eV/cell.


(19)
The following is a DFT calculation (PBE) of an optimized crystal structure of SrMn2PN2.

Cell lengths 6.163, 4.884, 6.998 Å; angles 90.00, 110.34, 90.00 degrees
Space group P2_1/m (No. 11)
Unique sites:
Sr 0.174 0.250 0.334 x2
Mn 0.371 0.000 0.812 x4
P 0.297 0.750 0.059 x2
N 0.155 0.250 0.707 x2
N 0.397 0.750 0.639 x2

Its crystal system is monoclinic. Its calculated volume is 197.5 Å³ per cell. For the uncorrected formation energy, the calculation gives -14.02 kcal/mol of atoms. The density of states at the Fermi level comes out at 4.26 states/eV/cell.


(20)
The following is a DFT calculation (PBE) of an optimized crystal structure of Sr2MnP2N6.

Cell lengths 5.4970, 5.4970, 16.4367 Å; angles 90.00, 90.00, 120.00 degrees
Space group R-3m (No. 166, hexagonal axes)
Unique sites:
Sr 0.0000 0.0000 0.2130 x6
Mn 0.0000 0.0000 0.0000 x3
P 0.0000 0.0000 0.4066 x6
N 0.0013 0.5006 0.2565 x18

Its crystal system is trigonal. Its calculated volume is 430.1 Å³ per cell. For the uncorrected formation energy, the calculation gives -11.32 kcal/mol of atoms. The density of states at the Fermi level comes out at 7.82 states/eV/cell.


Number 1: electronic total energy -0.44236 Ry/atom. Number 2: electronic total energy -0.44205 Ry/atom. Number 3: electronic total energy -0.44271 Ry/atom. Number 4: electronic total energy -0.44360 Ry/atom. Number 5: electronic total energy -0.44828 Ry/atom. Number 6: electronic total energy -0.39328 Ry/atom. Number 7: electronic total energy -0.47841 Ry/atom. Number 8: electronic total energy -0.36932 Ry/atom. Number 9: electronic total energy -0.41707 Ry/atom. Number 10: electronic total energy -0.35177 Ry/atom. Number 11: electronic total energy -0.45778 Ry/atom. Number 12: electronic total energy -0.44973 Ry/atom. Number 13: electronic total energy -0.45971 Ry/atom. Number 14: electronic total energy -0.40466 Ry/atom. Number 15: electronic total energy -0.40324 Ry/atom. Number 16: electronic total energy -0.61047 Ry/atom. Number 17: electronic total energy -0.44178 Ry/atom. Number 18: electronic total energy -0.54719 Ry/atom. Number 19: electronic total energy -0.56018 Ry/atom. Number 20: electronic total energy -0.52587 Ry/atom.